No. 1
SrIn2Os after structural relaxation, computed with GGA-PBEsol.

Cell lengths 5.9893, 9.4985, 3.0346 Å; angles 90.00, 90.00, 90.00 degrees
Space group Cmmm (No. 65)
Symmetry-distinct sites (fractional):
Sr 0.0000 0.0000 0.0000 [2 per cell]
In 0.2500 0.2500 0.5000 [4 per cell]
Os 0.0000 0.5000 0.0000 [2 per cell]

=====

No. 2
CsSi3Os after structural relaxation, computed with GGA-PBEsol.

Cell lengths 4.7576, 4.7576, 4.7576 Å; angles 90.00, 90.00, 90.00 degrees
Space group Pm-3m (No. 221)
Symmetry-distinct sites (fractional):
Cs 0.0000 0.0000 0.0000 [1 per cell]
Si 0.0000 0.5000 0.5000 [3 per cell]
Os 0.5000 0.5000 0.5000 [1 per cell]

Results
Its formation energy from raw total energies is 430 meV/atom.

=====

What are the calculated total energy values for these records? In order: -35.37 -28.25 eV/cell.